DFT (PBE) results for a geometry-optimized Cs2La2PaSe6 structure.

Values from the calculation:
formation energy (no corrections): -1.711 eV/atom
volume: 427 Å³ per cell
total energy: -5.526 eV per atom

abc: 7.584 7.584 8.930
angles: 98.36 98.36 119.62
Fractional coordinates of all 11 atoms:
Cs: 0.830 0.170 0.000
Cs: 0.170 0.830 0.000
La: 0.334 0.666 0.500
La: 0.666 0.334 0.500
Pa: 0.000 0.000 0.500
Se: 0.747 0.747 0.684
Se: 0.062 0.381 0.684
Se: 0.253 0.253 0.316
Se: 0.381 0.062 0.684
Se: 0.938 0.619 0.316
Se: 0.619 0.938 0.316